Entry 1:
# PBE LiAuS2N, relaxed
data_LiAuS2N
_chemical_formula_sum 'Li1 Au1 S2 N1'
_space_group_name_H-M_alt 'P 1'
_space_group_IT_number 1
_cell_length_a 4.563
_cell_length_b 4.563
_cell_length_c 3.538
_cell_angle_alpha 90.00
_cell_angle_beta 90.00
_cell_angle_gamma 90.00
loop_
_space_group_symop_operation_xyz
'x,y,z'
loop_
_atom_site_label
_atom_site_fract_x
_atom_site_fract_y
_atom_site_fract_z
_atom_site_occupancy
Li1 0.000 0.000 0.000 1
Au1 0.500 0.500 0.500 1
S1 0.000 0.500 0.000 1
S2 0.500 0.000 0.000 1
N1 0.000 0.000 0.500 1
# - crystal system = tetragonal
# - polymorph energy (0 for the lowest one) (eV/atom) = 0.390
# - formation energy without anion corrections (meV/atom) = 1213


Entry 2:
# PBE Dy3Ge5Pt6, relaxed
data_Dy3Ge5Pt6
_chemical_formula_sum 'Dy6 Ge10 Pt12'
_space_group_name_H-M_alt 'P 1'
_space_group_IT_number 1
_cell_length_a 4.164
_cell_length_b 12.955
_cell_length_c 9.578
_cell_angle_alpha 90.00
_cell_angle_beta 90.00
_cell_angle_gamma 90.00
loop_
_space_group_symop_operation_xyz
'x,y,z'
loop_
_atom_site_label
_atom_site_fract_x
_atom_site_fract_y
_atom_site_fract_z
_atom_site_occupancy
Dy1 0.250 0.080 0.244 1
Dy2 0.250 0.420 0.244 1
Dy3 0.250 0.750 0.256 1
Dy4 0.750 0.250 0.744 1
Dy5 0.750 0.580 0.756 1
Dy6 0.750 0.920 0.756 1
Ge1 0.250 0.084 0.849 1
Ge2 0.250 0.416 0.849 1
Ge3 0.250 0.636 0.541 1
Ge4 0.250 0.750 0.830 1
Ge5 0.250 0.864 0.541 1
Ge6 0.750 0.136 0.459 1
Ge7 0.750 0.250 0.170 1
Ge8 0.750 0.364 0.459 1
Ge9 0.750 0.584 0.151 1
Ge10 0.750 0.916 0.151 1
Pt1 0.250 0.054 0.596 1
Pt2 0.250 0.250 0.003 1
Pt3 0.250 0.250 0.487 1
Pt4 0.250 0.446 0.596 1
Pt5 0.250 0.584 0.007 1
Pt6 0.250 0.916 0.007 1
Pt7 0.750 0.084 0.993 1
Pt8 0.750 0.416 0.993 1
Pt9 0.750 0.554 0.404 1
Pt10 0.750 0.750 0.513 1
Pt11 0.750 0.750 0.997 1
Pt12 0.750 0.946 0.404 1
# - crystal system = orthorhombic
# - energy of formation (kJ/mol of atoms) = -87.3


Entry 3:
# PBE MgCdCuSn, relaxed
data_MgCdCuSn
_chemical_formula_sum 'Mg1 Cd1 Cu1 Sn1'
_space_group_name_H-M_alt 'P 1'
_space_group_IT_number 1
_cell_length_a 4.861
_cell_length_b 4.861
_cell_length_c 4.861
_cell_angle_alpha 60.00
_cell_angle_beta 60.00
_cell_angle_gamma 60.00
loop_
_space_group_symop_operation_xyz
'x,y,z'
loop_
_atom_site_label
_atom_site_fract_x
_atom_site_fract_y
_atom_site_fract_z
_atom_site_occupancy
Mg1 0.000 0.000 0.000 1
Cd1 0.250 0.250 0.250 1
Cu1 0.500 0.500 0.500 1
Sn1 0.750 0.750 0.750 1
# - crystal system = cubic
# - energy of formation (kJ/mol of atoms) = 8.2


Entry 4:
# PBE PaZn4N4, relaxed
data_PaZn4N4
_chemical_formula_sum 'Pa2 Zn8 N8'
_space_group_name_H-M_alt 'P 1'
_space_group_IT_number 1
_cell_length_a 5.969
_cell_length_b 5.969
_cell_length_c 6.954
_cell_angle_alpha 90.00
_cell_angle_beta 90.00
_cell_angle_gamma 80.87
loop_
_space_group_symop_operation_xyz
'x,y,z'
loop_
_atom_site_label
_atom_site_fract_x
_atom_site_fract_y
_atom_site_fract_z
_atom_site_occupancy
Pa1 0.150 0.850 0.750 1
Pa2 0.850 0.150 0.250 1
Zn1 0.083 0.625 0.250 1
Zn2 0.345 0.345 0.000 1
Zn3 0.345 0.345 0.500 1
Zn4 0.375 0.917 0.250 1
Zn5 0.625 0.083 0.750 1
Zn6 0.655 0.655 0.000 1
Zn7 0.655 0.655 0.500 1
Zn8 0.917 0.375 0.750 1
N1 0.199 0.249 0.250 1
N2 0.249 0.199 0.750 1
N3 0.292 0.708 0.020 1
N4 0.292 0.708 0.480 1
N5 0.708 0.292 0.520 1
N6 0.708 0.292 0.980 1
N7 0.751 0.801 0.250 1
N8 0.801 0.751 0.750 1
# - crystal system = orthorhombic
# - formation energy without anion corrections (meV/atom) = -257


Entry 5:
# PBE ZrAsHBr2, relaxed
data_ZrAsHBr2
_chemical_formula_sum 'Zr1 As1 H1 Br2'
_space_group_name_H-M_alt 'P 1'
_space_group_IT_number 1
_cell_length_a 5.427
_cell_length_b 5.427
_cell_length_c 5.247
_cell_angle_alpha 90.00
_cell_angle_beta 90.00
_cell_angle_gamma 90.00
loop_
_space_group_symop_operation_xyz
'x,y,z'
loop_
_atom_site_label
_atom_site_fract_x
_atom_site_fract_y
_atom_site_fract_z
_atom_site_occupancy
Zr1 0.000 0.000 0.000 1
As1 0.000 0.000 0.500 1
H1 0.500 0.500 0.500 1
Br1 0.000 0.500 0.000 1
Br2 0.500 0.000 0.000 1
# - crystal system = tetragonal
# - polymorph energy (0 for the lowest one) (eV/atom) = 0.000


Entry 6:
# PBE AcP2IrRh2, relaxed
data_AcP2IrRh2
_chemical_formula_sum 'Ac2 P4 Ir2 Rh4'
_space_group_name_H-M_alt 'P 1'
_space_group_IT_number 1
_cell_length_a 5.517
_cell_length_b 10.909
_cell_length_c 4.037
_cell_angle_alpha 90.00
_cell_angle_beta 90.00
_cell_angle_gamma 90.00
loop_
_space_group_symop_operation_xyz
'x,y,z'
loop_
_atom_site_label
_atom_site_fract_x
_atom_site_fract_y
_atom_site_fract_z
_atom_site_occupancy
Ac1 0.000 0.000 0.000 1
Ac2 0.500 0.500 0.500 1
P1 0.172 0.311 0.000 1
P2 0.328 0.811 0.500 1
P3 0.672 0.189 0.500 1
P4 0.828 0.689 0.000 1
Ir1 0.000 0.500 0.000 1
Ir2 0.500 0.000 0.500 1
Rh1 0.024 0.681 0.500 1
Rh2 0.476 0.181 0.000 1
Rh3 0.524 0.819 0.000 1
Rh4 0.976 0.319 0.500 1
# - crystal system = orthorhombic
# - energy of formation (kJ/mol of atoms) = -70.6


Entry 7:
# PBE ReTc4Se2, relaxed
data_ReTc4Se2
_chemical_formula_sum 'Re1 Tc4 Se2'
_space_group_name_H-M_alt 'P 1'
_space_group_IT_number 1
_cell_length_a 7.180
_cell_length_b 7.180
_cell_length_c 7.180
_cell_angle_alpha 141.55
_cell_angle_beta 141.55
_cell_angle_gamma 55.51
loop_
_space_group_symop_operation_xyz
'x,y,z'
loop_
_atom_site_label
_atom_site_fract_x
_atom_site_fract_y
_atom_site_fract_z
_atom_site_occupancy
Re1 0.000 0.000 0.000 1
Tc1 0.000 0.500 0.500 1
Tc2 0.196 0.196 0.000 1
Tc3 0.500 0.000 0.500 1
Tc4 0.804 0.804 0.000 1
Se1 0.387 0.387 0.000 1
Se2 0.613 0.613 0.000 1
# - crystal system = tetragonal
# - formation energy without anion corrections (meV/atom) = 1359


Entry 8:
# PBE Ca4HgPd, relaxed
data_Ca4HgPd
_chemical_formula_sum 'Ca4 Hg1 Pd1'
_space_group_name_H-M_alt 'P 1'
_space_group_IT_number 1
_cell_length_a 5.146
_cell_length_b 5.146
_cell_length_c 7.311
_cell_angle_alpha 90.04
_cell_angle_beta 90.04
_cell_angle_gamma 90.00
loop_
_space_group_symop_operation_xyz
'x,y,z'
loop_
_atom_site_label
_atom_site_fract_x
_atom_site_fract_y
_atom_site_fract_z
_atom_site_occupancy
Ca1 0.000 0.500 0.239 1
Ca2 0.000 0.500 0.761 1
Ca3 0.500 0.000 0.239 1
Ca4 0.500 0.000 0.761 1
Hg1 0.000 0.000 0.500 1
Pd1 0.500 0.500 0.000 1
# - crystal system = monoclinic
# - polymorph energy (0 for the lowest one) (eV/atom) = 0.068
# - energy of formation (kJ/mol of atoms) = -38.1


Entry 9:
# PBE Pm3MgPd, relaxed
data_Pm3MgPd
_chemical_formula_sum 'Pm6 Mg2 Pd2'
_space_group_name_H-M_alt 'P 1'
_space_group_IT_number 1
_cell_length_a 7.181
_cell_length_b 7.181
_cell_length_c 7.854
_cell_angle_alpha 120.69
_cell_angle_beta 120.69
_cell_angle_gamma 74.05
loop_
_space_group_symop_operation_xyz
'x,y,z'
loop_
_atom_site_label
_atom_site_fract_x
_atom_site_fract_y
_atom_site_fract_z
_atom_site_occupancy
Pm1 0.044 0.044 0.329 1
Pm2 0.082 0.482 0.256 1
Pm3 0.482 0.082 0.256 1
Pm4 0.518 0.918 0.744 1
Pm5 0.918 0.518 0.744 1
Pm6 0.956 0.956 0.671 1
Mg1 0.430 0.430 0.739 1
Mg2 0.570 0.570 0.261 1
Pd1 0.275 0.275 0.919 1
Pd2 0.725 0.725 0.081 1
# - crystal system = monoclinic
# - energy of formation (kJ/mol of atoms) = -24.1


Entry 10:
# PBE Rb2NbBiI6, relaxed
data_Rb2NbBiI6
_chemical_formula_sum 'Rb2 Nb1 Bi1 I6'
_space_group_name_H-M_alt 'P 1'
_space_group_IT_number 1
_cell_length_a 8.650
_cell_length_b 8.650
_cell_length_c 8.650
_cell_angle_alpha 119.79
_cell_angle_beta 119.79
_cell_angle_gamma 90.37
loop_
_space_group_symop_operation_xyz
'x,y,z'
loop_
_atom_site_label
_atom_site_fract_x
_atom_site_fract_y
_atom_site_fract_z
_atom_site_occupancy
Rb1 0.250 0.750 0.500 1
Rb2 0.750 0.250 0.500 1
Nb1 0.000 0.000 0.000 1
Bi1 0.500 0.500 0.000 1
I1 0.238 0.238 0.476 1
I2 0.238 0.762 0.000 1
I3 0.239 0.239 0.000 1
I4 0.761 0.761 0.000 1
I5 0.762 0.238 0.000 1
I6 0.762 0.762 0.524 1
# - crystal system = tetragonal
# - formation energy without anion corrections (meV/atom) = -608


Entry 11:
# PBE La3TaZn, relaxed
data_La3TaZn
_chemical_formula_sum 'La3 Ta1 Zn1'
_space_group_name_H-M_alt 'P 1'
_space_group_IT_number 1
_cell_length_a 5.634
_cell_length_b 5.634
_cell_length_c 5.634
_cell_angle_alpha 90.00
_cell_angle_beta 90.00
_cell_angle_gamma 90.00
loop_
_space_group_symop_operation_xyz
'x,y,z'
loop_
_atom_site_label
_atom_site_fract_x
_atom_site_fract_y
_atom_site_fract_z
_atom_site_occupancy
La1 0.000 0.000 0.500 1
La2 0.000 0.500 0.000 1
La3 0.500 0.000 0.000 1
Ta1 0.000 0.000 0.000 1
Zn1 0.500 0.500 0.500 1
# - crystal system = cubic
# - polymorph energy (0 for the lowest one) (eV/atom) = 0.000
# - energy of formation (kJ/mol of atoms) = 51.1


Entry 12:
# PBE Pm6BiTe3Pb2, relaxed
data_Pm6BiTe3Pb2
_chemical_formula_sum 'Pm6 Bi1 Te3 Pb2'
_space_group_name_H-M_alt 'P 1'
_space_group_IT_number 1
_cell_length_a 10.100
_cell_length_b 10.100
_cell_length_c 9.040
_cell_angle_alpha 102.61
_cell_angle_beta 102.61
_cell_angle_gamma 25.94
loop_
_space_group_symop_operation_xyz
'x,y,z'
loop_
_atom_site_label
_atom_site_fract_x
_atom_site_fract_y
_atom_site_fract_z
_atom_site_occupancy
Pm1 0.003 0.003 0.250 1
Pm2 0.332 0.332 0.421 1
Pm3 0.333 0.333 0.911 1
Pm4 0.667 0.667 0.089 1
Pm5 0.668 0.668 0.579 1
Pm6 0.997 0.997 0.750 1
Bi1 0.500 0.500 0.000 1
Te1 0.166 0.166 0.833 1
Te2 0.500 0.500 0.500 1
Te3 0.834 0.834 0.167 1
Pb1 0.167 0.167 0.333 1
Pb2 0.833 0.833 0.667 1
# - crystal system = monoclinic
# - formation energy without anion corrections (meV/atom) = -1088


Entry 13:
# PBE SiAgS2, relaxed
data_SiAgS2
_chemical_formula_sum 'Si1 Ag1 S2'
_space_group_name_H-M_alt 'P 1'
_space_group_IT_number 1
_cell_length_a 7.233
_cell_length_b 7.233
_cell_length_c 7.233
_cell_angle_alpha 32.01
_cell_angle_beta 32.01
_cell_angle_gamma 32.01
loop_
_space_group_symop_operation_xyz
'x,y,z'
loop_
_atom_site_label
_atom_site_fract_x
_atom_site_fract_y
_atom_site_fract_z
_atom_site_occupancy
Si1 0.000 0.000 0.000 1
Ag1 0.500 0.500 0.500 1
S1 0.099 0.099 0.099 1
S2 0.901 0.901 0.901 1
# - crystal system = trigonal
# - formation energy without anion corrections (meV/atom) = 280


Entry 14:
# PBE LaZr2ReSn, relaxed
data_LaZr2ReSn
_chemical_formula_sum 'La1 Zr2 Re1 Sn1'
_space_group_name_H-M_alt 'P 1'
_space_group_IT_number 1
_cell_length_a 5.250
_cell_length_b 5.250
_cell_length_c 5.803
_cell_angle_alpha 90.00
_cell_angle_beta 90.00
_cell_angle_gamma 90.00
loop_
_space_group_symop_operation_xyz
'x,y,z'
loop_
_atom_site_label
_atom_site_fract_x
_atom_site_fract_y
_atom_site_fract_z
_atom_site_occupancy
La1 0.000 0.000 0.000 1
Zr1 0.000 0.500 0.500 1
Zr2 0.500 0.000 0.500 1
Re1 0.500 0.500 0.000 1
Sn1 0.000 0.000 0.500 1
# - crystal system = tetragonal
# - energy of formation (kJ/mol of atoms) = 145.4


Entry 15:
# PBE CsNa2CdAg, relaxed
data_CsNa2CdAg
_chemical_formula_sum 'Cs1 Na2 Cd1 Ag1'
_space_group_name_H-M_alt 'P 1'
_space_group_IT_number 1
_cell_length_a 5.940
_cell_length_b 5.940
_cell_length_c 5.604
_cell_angle_alpha 90.00
_cell_angle_beta 90.00
_cell_angle_gamma 90.00
loop_
_space_group_symop_operation_xyz
'x,y,z'
loop_
_atom_site_label
_atom_site_fract_x
_atom_site_fract_y
_atom_site_fract_z
_atom_site_occupancy
Cs1 0.000 0.000 0.000 1
Na1 0.000 0.500 0.500 1
Na2 0.500 0.000 0.500 1
Cd1 0.500 0.500 0.500 1
Ag1 0.500 0.500 0.000 1
# - crystal system = tetragonal
# - polymorph energy (0 for the lowest one) (eV/atom) = 0.060
# - energy of formation (kJ/mol of atoms) = 6.7


Entry 16:
# PBE Li2ZnPt, relaxed
data_Li2ZnPt
_chemical_formula_sum 'Li2 Zn1 Pt1'
_space_group_name_H-M_alt 'P 1'
_space_group_IT_number 1
_cell_length_a 2.768
_cell_length_b 3.920
_cell_length_c 5.363
_cell_angle_alpha 90.00
_cell_angle_beta 95.63
_cell_angle_gamma 90.00
loop_
_space_group_symop_operation_xyz
'x,y,z'
loop_
_atom_site_label
_atom_site_fract_x
_atom_site_fract_y
_atom_site_fract_z
_atom_site_occupancy
Li1 0.000 0.000 0.000 1
Li2 0.450 0.500 0.263 1
Zn1 0.493 0.500 0.732 1
Pt1 0.965 0.000 0.502 1
# - crystal system = monoclinic
# - energy of formation (kJ/mol of atoms) = -44.2


Entry 17:
# PBE Y2ReCl, relaxed
data_Y2ReCl
_chemical_formula_sum 'Y2 Re1 Cl1'
_space_group_name_H-M_alt 'P 1'
_space_group_IT_number 1
_cell_length_a 5.634
_cell_length_b 5.634
_cell_length_c 5.634
_cell_angle_alpha 142.17
_cell_angle_beta 110.95
_cell_angle_gamma 81.52
loop_
_space_group_symop_operation_xyz
'x,y,z'
loop_
_atom_site_label
_atom_site_fract_x
_atom_site_fract_y
_atom_site_fract_z
_atom_site_occupancy
Y1 0.244 0.244 0.000 1
Y2 0.756 0.756 0.000 1
Re1 0.500 0.000 0.500 1
Cl1 0.000 0.500 0.500 1
# - crystal system = orthorhombic
# - polymorph energy (0 for the lowest one) (eV/atom) = 0.734
# - formation energy without anion corrections (meV/atom) = 95


Entry 18:
# PBE YZr5, relaxed
data_YZr5
_chemical_formula_sum 'Y1 Zr5'
_space_group_name_H-M_alt 'P 1'
_space_group_IT_number 1
_cell_length_a 6.247
_cell_length_b 6.247
_cell_length_c 4.674
_cell_angle_alpha 90.00
_cell_angle_beta 90.00
_cell_angle_gamma 120.00
loop_
_space_group_symop_operation_xyz
'x,y,z'
loop_
_atom_site_label
_atom_site_fract_x
_atom_site_fract_y
_atom_site_fract_z
_atom_site_occupancy
Y1 0.000 0.000 0.000 1
Zr1 0.000 0.500 0.500 1
Zr2 0.333 0.667 0.000 1
Zr3 0.500 0.000 0.500 1
Zr4 0.500 0.500 0.500 1
Zr5 0.667 0.333 0.000 1
# - crystal system = hexagonal
# - energy of formation (kJ/mol of atoms) = 25.9


Entry 19:
# PBE Li2BeRh, relaxed
data_Li2BeRh
_chemical_formula_sum 'Li2 Be1 Rh1'
_space_group_name_H-M_alt 'P 1'
_space_group_IT_number 1
_cell_length_a 4.721
_cell_length_b 4.721
_cell_length_c 2.598
_cell_angle_alpha 90.00
_cell_angle_beta 90.00
_cell_angle_gamma 121.16
loop_
_space_group_symop_operation_xyz
'x,y,z'
loop_
_atom_site_label
_atom_site_fract_x
_atom_site_fract_y
_atom_site_fract_z
_atom_site_occupancy
Li1 0.000 0.500 0.000 1
Li2 0.500 0.000 0.000 1
Be1 0.000 0.000 0.500 1
Rh1 0.500 0.500 0.500 1
# - crystal system = orthorhombic
# - energy of formation (kJ/mol of atoms) = -1.4


Entry 20:
# PBE Th4HgAu2, relaxed
data_Th4HgAu2
_chemical_formula_sum 'Th4 Hg1 Au2'
_space_group_name_H-M_alt 'P 1'
_space_group_IT_number 1
_cell_length_a 12.436
_cell_length_b 12.436
_cell_length_c 12.436
_cell_angle_alpha 20.81
_cell_angle_beta 20.81
_cell_angle_gamma 20.81
loop_
_space_group_symop_operation_xyz
'x,y,z'
loop_
_atom_site_label
_atom_site_fract_x
_atom_site_fract_y
_atom_site_fract_z
_atom_site_occupancy
Th1 0.113 0.113 0.113 1
Th2 0.305 0.305 0.305 1
Th3 0.695 0.695 0.695 1
Th4 0.887 0.887 0.887 1
Hg1 0.500 0.500 0.500 1
Au1 0.403 0.403 0.403 1
Au2 0.597 0.597 0.597 1
# - crystal system = trigonal
# - energy of formation (kJ/mol of atoms) = -15.2


Values of calculated total energy, in order: -3.142, -6.129, -2.567, -5.579, -3.986, -7.147, -7.339, -2.645, -4.458, -3.127, -5.052, -5.190, -3.852, -6.188, -1.382, -3.244, -6.711, -7.933, -3.741, -5.377, all in eV per atom.